No. 1
A plane-wave DFT calculation with GGA-PBE was carried out for a relaxed LiNpAl crystal.

CIF file:
```
data_LiNpAl
_cell_length_a 6.425
_cell_length_b 6.425
_cell_length_c 6.425
_cell_angle_alpha 90.00
_cell_angle_beta 90.00
_cell_angle_gamma 90.00
_symmetry_space_group_name_H-M 'F -4 3 m'
_symmetry_Int_Tables_number 216
_symmetry_space_group_name_Hall 'F -4 2 3'
loop_
_atom_site_label
_atom_site_fract_x
_atom_site_fract_y
_atom_site_fract_z
Li1 0.000 0.000 0.000
Np1 0.250 0.250 0.250
Al1 0.250 0.250 0.750
```

Calculated values
- uncorrected energy (eV for the cell shown) = -65.18

=====

No. 2
A plane-wave DFT calculation with GGA-PBE was carried out for a relaxed Li4AlOsO6 crystal.

CIF file:
```
data_Li4AlOsO6
_cell_length_a 5.033
_cell_length_b 8.704
_cell_length_c 5.054
_cell_angle_alpha 90.00
_cell_angle_beta 109.62
_cell_angle_gamma 90.00
_symmetry_space_group_name_H-M 'C 1 2 1'
_symmetry_Int_Tables_number 5
loop_
_symmetry_equiv_pos_as_xyz
'x,y,z'
'-x,y,-z'
'x+1/2,y+1/2,z'
'-x+1/2,y+1/2,-z'
loop_
_atom_site_label
_atom_site_fract_x
_atom_site_fract_y
_atom_site_fract_z
Li1 0.000 0.000 0.000
Li2 0.000 0.159 0.500
Li3 0.000 0.501 0.500
Li4 0.000 0.840 0.500
Al1 0.000 0.667 0.000
Os1 0.000 0.333 0.000
O1 0.223 0.505 0.230
O2 0.240 0.674 0.773
O3 0.247 0.821 0.228
```

Calculated values
- uncorrected energy (eV for the cell shown) = -152.01

=====

No. 3
A plane-wave DFT calculation with GGA-PBE was carried out for a relaxed Li4AlPdO6 crystal.

CIF file:
```
data_Li4AlPdO6
_cell_length_a 5.004
_cell_length_b 8.676
_cell_length_c 5.003
_cell_angle_alpha 90.00
_cell_angle_beta 109.85
_cell_angle_gamma 90.00
_symmetry_space_group_name_H-M 'C 1 2 1'
_symmetry_Int_Tables_number 5
loop_
_symmetry_equiv_pos_as_xyz
'x,y,z'
'-x,y,-z'
'x+1/2,y+1/2,z'
'-x+1/2,y+1/2,-z'
loop_
_atom_site_label
_atom_site_fract_x
_atom_site_fract_y
_atom_site_fract_z
Li1 0.000 0.000 0.000
Li2 0.000 0.157 0.500
Li3 0.000 0.504 0.500
Li4 0.000 0.841 0.500
Al1 0.000 0.334 0.000
Pd1 0.000 0.668 0.000
O1 0.227 0.493 0.233
O2 0.236 0.328 0.770
O3 0.243 0.179 0.231
```

Calculated values
- uncorrected energy (eV for the cell shown) = -134.55

=====

No. 4
A plane-wave DFT calculation with GGA-PBE was carried out for a relaxed Li4AlReO6 crystal.

CIF file:
```
data_Li4AlReO6
_cell_length_a 5.035
_cell_length_b 8.716
_cell_length_c 5.034
_cell_angle_alpha 90.00
_cell_angle_beta 109.62
_cell_angle_gamma 90.00
_symmetry_space_group_name_H-M 'C 1 2 1'
_symmetry_Int_Tables_number 5
loop_
_symmetry_equiv_pos_as_xyz
'x,y,z'
'-x,y,-z'
'x+1/2,y+1/2,z'
'-x+1/2,y+1/2,-z'
loop_
_atom_site_label
_atom_site_fract_x
_atom_site_fract_y
_atom_site_fract_z
Li1 0.000 0.000 0.000
Li2 0.000 0.157 0.500
Li3 0.000 0.508 0.500
Li4 0.000 0.840 0.500
Al1 0.000 0.667 0.000
Re1 0.000 0.333 0.000
O1 0.224 0.505 0.230
O2 0.240 0.674 0.773
O3 0.246 0.821 0.228
```

Calculated values
- uncorrected energy (eV for the cell shown) = -157.12